[1]
Compound: PrErPd3
Source: Alexandria via LeMat-Bulk
Functional: PBE-GGA
Structure: relaxed

```
PrErPd3
1.0
9.2068 0.0000 0.0000
0.0000 5.8021 0.0000
-1.5650 0.0000 8.1986
Pr Er Pd
4 4 12
Cartesian
0.7140 0.5474 1.8021 Pr
-0.0685 2.3536 5.9014 Pr
7.7103 3.4485 2.2972 Pr
6.9278 5.2546 6.3965 Pr
3.0797 4.1827 5.1251 Er
3.8622 4.5205 1.0259 Er
3.7797 1.2816 7.1727 Er
4.5621 1.6194 3.0734 Er
1.0283 3.7940 0.2984 Pd
0.2458 4.9091 4.3977 Pd
1.8460 3.1520 2.8319 Pd
1.0636 5.5511 6.9311 Pd
2.3207 1.1420 4.7173 Pd
3.1032 1.7591 0.6180 Pd
4.5387 4.0430 7.5805 Pd
5.3211 4.6601 3.4813 Pd
6.5783 0.2510 1.2674 Pd
5.7958 2.6501 5.3667 Pd
7.3961 0.8930 3.8009 Pd
6.6136 2.0080 7.9001 Pd
```

Properties
ΔH_f (0 K)   -0.803 eV per atom
Volume   21.898 Å³ per atom
Crystal system   monoclinic

=====

[2]
Compound: PaTaOs
Source: Alexandria via LeMat-Bulk
Functional: PBE-GGA
Structure: relaxed

```
PaTaOs
1.0
-1.5744 1.5744 11.7678
1.5744 -1.5744 11.7678
1.5744 1.5744 -11.7678
Pa Ta Os
2 2 2
Cartesian
0.0000 0.0000 1.3689 Pa
0.0000 0.0000 22.1667 Pa
0.0000 0.0000 4.9539 Ta
0.0000 0.0000 18.5817 Ta
0.0000 0.0000 8.3775 Os
0.0000 0.0000 15.1581 Os
```

Properties
ΔH_f (0 K)   -0.211 eV per atom
Volume   19.446 Å³ per atom
Crystal system   tetragonal
Relative energy among the computed polymorphs   0 meV/atom

=====

[3]
Compound: ZrZn3Co
Source: Alexandria via LeMat-Bulk
Functional: PBE-GGA
Structure: relaxed

```
ZrZn3Co
1.0
5.1681 0.0000 0.0000
0.0000 5.1681 0.0000
0.0000 0.0000 5.1681
Zr Zn Co
1 3 1
Cartesian
0.0000 0.0000 0.0000 Zr
0.0000 0.0000 2.5841 Zn
0.0000 2.5841 0.0000 Zn
2.5841 0.0000 0.0000 Zn
2.5841 2.5841 2.5841 Co
```

Properties
ΔH_f (0 K)   1.498 eV per atom
Volume   27.608 Å³ per atom
Crystal system   cubic
Relative energy among the computed polymorphs   1674 meV/atom

=====

[4]
Compound: Ho3ScNi2
Source: Alexandria via LeMat-Bulk
Functional: PBE-GGA
Structure: relaxed

```
Ho3ScNi2
1.0
7.9438 -1.8965 0.0000
7.9438 1.8965 0.0000
-6.1176 0.0000 9.2504
Ho Sc Ni
6 2 4
Cartesian
-1.4478 0.0000 4.1248 Ho
-4.4036 0.0000 8.6338 Ho
0.8397 0.0000 6.9902 Ho
8.9302 0.0000 2.2603 Ho
14.1735 0.0000 0.6166 Ho
11.2178 0.0000 5.1256 Ho
3.8863 0.0000 2.3025 Sc
5.8836 0.0000 6.9480 Sc
-1.5424 0.0000 8.7364 Ni
1.5355 0.0000 4.1346 Ni
8.2345 0.0000 5.1159 Ni
11.3124 0.0000 0.5140 Ni
```

Properties
ΔH_f (0 K)   -0.293 eV per atom
Volume   23.227 Å³ per atom
Crystal system   monoclinic

=====

[5]
Compound: GdDy3Ni
Source: Alexandria via LeMat-Bulk
Functional: PBE-GGA
Structure: relaxed

```
GdDy3Ni
1.0
5.3074 0.0000 0.0000
0.0000 5.3074 0.0000
0.0000 0.0000 5.3074
Gd Dy Ni
1 3 1
Cartesian
0.0000 0.0000 0.0000 Gd
0.0000 2.6537 2.6537 Dy
2.6537 0.0000 2.6537 Dy
2.6537 2.6537 0.0000 Dy
2.6537 2.6537 2.6537 Ni
```

Properties
ΔH_f (0 K)   -0.061 eV per atom
Volume   29.901 Å³ per atom
Crystal system   cubic

=====

[6]
Compound: CaTaNb2
Source: Alexandria via LeMat-Bulk
Functional: PBE-GGA
Structure: relaxed

```
CaTaNb2
1.0
0.0000 3.4405 3.4405
3.4405 0.0000 3.4405
3.4405 3.4405 0.0000
Ca Ta Nb
1 1 2
Cartesian
0.0000 0.0000 0.0000 Ca
3.4405 3.4405 3.4405 Ta
1.7203 1.7203 1.7203 Nb
5.1608 5.1608 5.1608 Nb
```

Properties
ΔH_f (0 K)   0.610 eV per atom
Volume   20.363 Å³ per atom
Crystal system   cubic
Relative energy among the computed polymorphs   0 meV/atom

=====

[7]
Compound: DyPuCdGe
Source: Alexandria via LeMat-Bulk
Functional: PBE-GGA
Structure: relaxed

```
DyPuCdGe
1.0
0.0000 3.6595 3.6595
3.6595 0.0000 3.6595
3.6595 3.6595 0.0000
Dy Pu Cd Ge
1 1 1 1
Cartesian
0.0000 0.0000 0.0000 Dy
3.6595 3.6595 3.6595 Pu
5.4893 5.4893 5.4893 Cd
1.8298 1.8298 1.8298 Ge
```

Properties
ΔH_f (0 K)   -0.308 eV per atom
Volume   24.504 Å³ per atom
Crystal system   cubic

=====

[8]
Compound: Ni4Te
Source: Alexandria via LeMat-Bulk
Functional: PBE-GGA
Structure: relaxed

```
Ni4Te
1.0
-1.7050 1.7050 6.0134
1.7050 -1.7050 6.0134
1.7050 1.7050 -6.0134
Ni Te
4 1
Cartesian
0.0000 0.0000 1.2730 Ni
1.7050 0.0000 3.0067 Ni
0.0000 1.7050 3.0067 Ni
0.0000 0.0000 10.7538 Ni
0.0000 0.0000 6.0134 Te
```

Properties
Volume   13.986 Å³ per atom
Crystal system   tetragonal
E_form (uncorrected)   1.3 eV/f.u.
Relative energy among the computed polymorphs   226 meV/atom

=====

[9]
Compound: PmLuHf2
Source: Alexandria via LeMat-Bulk
Functional: PBE-GGA
Structure: relaxed

```
PmLuHf2
1.0
4.6794 0.0000 0.0000
0.0000 4.6794 0.0000
0.0000 0.0000 4.7564
Pm Lu Hf
1 1 2
Cartesian
0.0000 0.0000 0.0000 Pm
2.3397 2.3397 0.0000 Lu
0.0000 2.3397 2.3782 Hf
2.3397 0.0000 2.3782 Hf
```

Properties
ΔH_f (0 K)   0.202 eV per atom
Volume   26.037 Å³ per atom
Crystal system   tetragonal
Relative energy among the computed polymorphs   0 meV/atom

=====

[10]
Compound: GaSeBr2Cl
Source: Alexandria via LeMat-Bulk
Functional: PBE-GGA
Structure: relaxed

```
GaSeBr2Cl
1.0
5.3249 0.0000 0.0000
0.0000 5.3249 0.0000
0.0000 0.0000 5.1474
Ga Se Br Cl
1 1 2 1
Cartesian
0.0000 0.0000 0.0000 Ga
2.6624 2.6624 0.0000 Se
0.0000 2.6624 2.5737 Br
2.6624 0.0000 2.5737 Br
2.6624 2.6624 2.5737 Cl
```

Properties
Volume   29.190 Å³ per atom
Crystal system   tetragonal
E_form (uncorrected)   1.7 eV/f.u.
Relative energy among the computed polymorphs   260 meV/atom

=====

[11]
Compound: Rb14Sm2O9
Source: Alexandria via LeMat-Bulk
Functional: PBE-GGA
Structure: relaxed

```
Rb14Sm2O9
1.0
8.3099 0.0000 0.0000
-4.1550 7.1966 0.0000
0.0000 0.0000 11.6338
Rb Sm O
14 2 9
Cartesian
0.0000 0.0000 2.8947 Rb
0.0000 0.0000 8.7391 Rb
-2.5073 4.8448 10.5530 Rb
-0.7945 2.7868 6.8861 Rb
-1.3443 6.4913 6.8861 Rb
1.2129 2.6028 10.5530 Rb
2.8605 0.2510 1.0808 Rb
2.0162 2.0814 4.7477 Rb
2.1388 5.1152 6.8861 Rb
1.2944 6.9456 10.5530 Rb
2.9421 4.5938 1.0808 Rb
5.4992 0.7053 4.7477 Rb
4.9495 4.4098 4.7477 Rb
6.6623 2.3518 1.0808 Rb
0.0000 4.7977 3.2289 Sm
4.1550 2.3989 8.4049 Sm
0.0000 0.0000 0.0000 O
-0.6346 2.7607 3.9791 O
-1.4468 6.3658 3.9791 O
0.0000 4.7977 0.9928 O
2.0736 1.9299 7.6547 O
2.0814 5.2667 3.9791 O
4.1550 2.3989 10.6410 O
5.6018 0.8308 7.6547 O
4.7896 4.4359 7.6547 O
```

Properties
Volume   27.830 Å³ per atom
Crystal system   trigonal
E_form (uncorrected)   -33.1 eV/f.u.

=====

[12]
Compound: Er2MgPt
Source: Alexandria via LeMat-Bulk
Functional: PBE-GGA
Structure: relaxed

```
Er2MgPt
1.0
1.8250 -6.1931 0.0000
1.8250 6.1931 0.0000
0.0000 0.0000 8.6437
Er Mg Pt
4 2 2
Cartesian
1.8250 4.5077 4.8050 Er
1.8250 4.5077 8.1606 Er
1.8250 -4.5077 0.4831 Er
1.8250 -4.5077 3.8387 Er
1.8250 0.7767 6.4828 Mg
1.8250 -0.7767 2.1609 Mg
1.8250 3.1326 2.1609 Pt
1.8250 -3.1326 6.4828 Pt
```

Properties
ΔH_f (0 K)   -0.692 eV per atom
Volume   24.423 Å³ per atom
Crystal system   orthorhombic